No. 1
## SiAg2 (PBE)

Data for a geometry-optimized SiAg2 structure.

a = 5.398 Å, b = 5.398 Å, c = 5.398 Å
α = 60.00°, β = 60.00°, γ = 60.00°
Sites, in units of the cell vectors:
Ag 0.625 0.625 0.625
Ag 0.625 0.625 0.125
Ag 0.125 0.625 0.625
Ag 0.625 0.125 0.625
Si 0.000 0.000 0.000
Si 0.250 0.250 0.250

Results
The calculation puts the uncorrected energy at -19.042 eV for the cell shown.


No. 2
## SiAg4 (PBE)

Data for a geometry-optimized SiAg4 structure.

a = 5.057 Å, b = 5.057 Å, c = 5.057 Å
α = 109.47°, β = 109.47°, γ = 109.47°
Sites, in units of the cell vectors:
Ag 0.500 0.000 0.000
Ag 0.500 0.500 0.500
Ag 0.000 0.000 0.500
Ag 0.000 0.500 0.000
Si 0.000 0.000 0.000

Results
The calculation puts the uncorrected energy at -15.887 eV for the cell shown.


- What is the formula in the second record?
  SiAg4


What did the first record say?
## SiAg2 (PBE)

Data for a geometry-optimized SiAg2 structure.

a = 5.398 Å, b = 5.398 Å, c = 5.398 Å
α = 60.00°, β = 60.00°, γ = 60.00°
Sites, in units of the cell vectors:
Ag 0.625 0.625 0.625
Ag 0.625 0.625 0.125
Ag 0.125 0.625 0.625
Ag 0.625 0.125 0.625
Si 0.000 0.000 0.000
Si 0.250 0.250 0.250

Results
The calculation puts the uncorrected energy at -19.042 eV for the cell shown.


- What is the uncorrected energy in the first record?
  -19.042 eV for the cell shown


- What is the formula in the first record?
  SiAg2